# NaCeMg6 (PBE, optimized geometry)
# Volume: 415.8 Å³/cell
# ρ: 2.47 g/cm3
# Formation enthalpy at 0 K: 129 meV per atom
# Energy above the most stable polymorph in this dataset: 19.4 meV/atom
# D(E_F): 1.330 states/eV per atom
data_NaCeMg6
_symmetry_space_group_name_H-M 'A m m 2'
_symmetry_Int_Tables_number 38
_cell_length_a 5.238
_cell_length_b 6.600
_cell_length_c 12.028
_cell_angle_alpha 90.00
_cell_angle_beta 90.00
_cell_angle_gamma 90.00
loop_
_symmetry_equiv_pos_as_xyz
'x,y,z'
'-x,-y,z'
'-x,y,z'
'x,-y,z'
'x,y+1/2,z+1/2'
'-x,-y+1/2,z+1/2'
'-x,y+1/2,z+1/2'
'x,-y+1/2,z+1/2'
loop_
_atom_site_label
_atom_site_type_symbol
_atom_site_fract_x
_atom_site_fract_y
_atom_site_fract_z
_atom_site_occupancy
Na1 Na 0.000 0.000 0.000 1
Ce1 Ce 0.500 0.000 0.171 1
Mg1 Mg 0.000 0.000 0.536 1
Mg2 Mg 0.000 0.243 0.272 1
Mg3 Mg 0.500 0.000 0.698 1
Mg4 Mg 0.500 0.239 0.422 1